# 1
The following is a GGA-PBE calculation of a geometry-optimized MgAsIr structure, from the Alexandria database.

uncorrected energy: -5.2984 eV per atom
calculated formation energy: -0.790 eV per formula unit

```
3
Lattice="-2.421 -3.483 4.354 -0.255 -5.208 3.123 1.759 0.483 2.419" Properties=species:S:1:pos:R:3 pbc="T T T"
Mg -1.274 -5.792 5.879
As -2.550 -8.431 7.334
Ir 0.232 -2.675 4.161
```

---

# 2
The following is a GGA-PBE calculation of a geometry-optimized Mg2MoAsIr structure, from the Alexandria database.

uncorrected energy: -4.3301 eV per atom
calculated formation energy: 5.880 eV per formula unit

```
5
Lattice="-4.522 -0.541 -2.263 -1.182 -3.244 3.137 -1.938 3.614 3.007" Properties=species:S:1:pos:R:3 pbc="T T T"
Mg -2.261 -0.271 -1.131
Ir -0.591 -1.622 1.569
As -3.821 -0.085 1.941
Mo 0.000 0.000 0.000
Mg -0.969 1.807 1.504
```

---

# 3
The following is a GGA-PBE calculation of a geometry-optimized Nd2MgAs4Ir3 structure, from the Alexandria database.

uncorrected energy: -6.3858 eV per atom
calculated formation energy: -7.547 eV per formula unit

```
10
Lattice="-1.247 -0.707 -4.067 -2.846 -2.930 1.382 -7.241 7.469 0.923" Properties=species:S:1:pos:R:3 pbc="T T T"
Nd -2.354 1.432 -1.813
As 0.000 0.000 0.000
As -2.047 -1.818 -1.343
Ir -2.274 -0.588 0.799
Mg -5.667 1.916 -0.881
As -3.988 1.181 1.018
Ir -7.014 6.238 -1.219
Nd -6.934 4.219 1.393
As -5.300 4.470 -1.438
Ir -3.621 3.735 0.461
```

---

# 4
The following is a GGA-PBE calculation of a geometry-optimized Mg2NiAs2Ir structure, from the Alexandria database.

uncorrected energy: -4.9347 eV per atom
calculated formation energy: -2.478 eV per formula unit

```
12
Lattice="-1.544 5.159 1.901 -3.053 0.860 -4.814 -2.620 -5.469 4.136" Properties=species:S:1:pos:R:3 pbc="T T T"
As -4.893 -2.605 -0.814
Ni -1.535 2.795 -0.253
Ni -3.062 3.225 -2.660
Ir -2.289 0.645 -3.610
As -3.146 1.234 -1.236
Mg -1.918 0.473 1.301
Ir -0.763 0.215 -1.203
Mg -5.299 0.077 -0.078
Mg -2.974 -3.020 1.346
As -2.323 3.155 2.037
Mg -4.243 3.571 -0.123
As -4.071 -0.684 2.459
```

---

# 5
The following is a GGA-PBE calculation of a geometry-optimized MgAsIr2Pb structure, from the Alexandria database.

uncorrected energy: -4.1477 eV per atom
calculated formation energy: 6.936 eV per formula unit

```
5
Lattice="4.695 0.000 0.000 0.000 5.017 0.000 0.000 0.000 4.695" Properties=species:S:1:pos:R:3 pbc="T T T"
Mg 0.000 0.000 0.000
As 2.348 2.509 2.348
Pb 0.000 2.509 0.000
Ir 2.348 0.000 0.000
Ir 0.000 0.000 2.348
```

---

# 6
The following is a GGA-PBE calculation of a geometry-optimized Pr2MgAs3Ir4 structure, from the Alexandria database.

uncorrected energy: -6.7713 eV per atom
calculated formation energy: -7.167 eV per formula unit

```
10
Lattice="4.162 0.000 0.000 0.000 4.162 0.000 0.000 0.000 10.935" Properties=species:S:1:pos:R:3 pbc="T T T"
As 0.000 2.081 1.446
Ir 2.081 0.000 7.069
Ir 2.081 2.081 0.000
Ir 0.000 2.081 3.866
Ir 0.000 0.000 0.000
Pr 2.081 0.000 2.668
As 2.081 0.000 9.489
As 0.000 0.000 5.468
Pr 0.000 2.081 8.267
Mg 2.081 2.081 5.468
```

---

# 7
The following is a GGA-PBE calculation of a geometry-optimized Mg2As2IrRh structure, from the Alexandria database.

uncorrected energy: -5.2443 eV per atom
calculated formation energy: -2.765 eV per formula unit

```
12
Lattice="5.823 0.000 0.000 0.000 5.835 0.000 -2.912 -2.917 6.167" Properties=species:S:1:pos:R:3 pbc="T T T"
As -1.453 2.917 4.613
As 1.459 2.917 1.554
As 1.453 0.000 4.613
Rh 2.912 1.459 0.000
Rh 2.912 4.376 0.000
Ir 0.000 1.459 0.000
Mg 1.466 0.000 1.911
Ir 0.000 4.376 0.000
Mg -1.446 0.000 4.256
Mg 4.357 2.917 1.911
Mg 1.446 2.917 4.256
As 4.364 0.000 1.554
```

---

# 8
The following is a GGA-PBE calculation of a geometry-optimized Mg2AsIrRu structure, from the Alexandria database.

uncorrected energy: -4.4229 eV per atom
energy above the lowest structure with this stoichiometry: 168 meV per atom
calculated formation energy: 3.861 eV per formula unit

```
5
Lattice="-3.212 2.667 2.272 -3.126 -3.090 -0.791 1.100 -2.159 4.090" Properties=species:S:1:pos:R:3 pbc="T T T"
Ir -2.619 -1.291 2.785
Mg -1.606 1.334 1.136
Ru -1.563 -1.545 -0.396
Mg 0.550 -1.080 2.045
As 0.000 0.000 0.000
```

---

# 9
The following is a GGA-PBE calculation of a geometry-optimized Mg2As2IrRu structure, from the Alexandria database.

uncorrected energy: -5.5101 eV per atom
calculated formation energy: -2.436 eV per formula unit

```
12
Lattice="5.873 0.000 0.000 0.000 5.866 0.000 -2.937 -2.933 6.097" Properties=species:S:1:pos:R:3 pbc="T T T"
As 1.546 2.933 1.484
Mg 1.425 0.000 1.892
Ir 0.000 1.466 0.000
Mg -1.512 0.000 4.205
As 1.391 0.000 4.613
Mg 4.449 2.933 1.892
Ir 0.000 4.399 0.000
Ru 2.937 4.399 0.000
Ru 2.937 1.466 0.000
As 4.328 0.000 1.484
As -1.391 2.933 4.613
Mg 1.512 2.933 4.205
```

---

# 10
The following is a GGA-PBE calculation of a geometry-optimized MgAs2IrRu structure, from the Alexandria database.

uncorrected energy: -5.0144 eV per atom
calculated formation energy: 3.959 eV per formula unit

```
5
Lattice="-0.264 -2.897 3.741 -3.723 -2.186 -1.955 3.030 -3.161 -2.234" Properties=species:S:1:pos:R:3 pbc="T T T"
Ir 0.000 0.000 0.000
As -0.132 -1.448 1.871
As -1.861 -1.093 -0.978
Mg -0.479 -4.122 -0.224
Ru 1.515 -1.581 -1.117
```

---

# 11
The following is a GGA-PBE calculation of a geometry-optimized Mg2AsIrRu structure, from the Alexandria database.

uncorrected energy: -4.5907 eV per atom
energy above the lowest structure with this stoichiometry: 0 meV per atom
calculated formation energy: 3.022 eV per formula unit

```
5
Lattice="4.933 0.000 0.000 0.000 4.538 0.000 0.000 0.000 4.933" Properties=species:S:1:pos:R:3 pbc="T T T"
Ir 0.000 0.000 0.000
Ru 2.467 2.269 2.467
Mg 0.000 0.000 2.467
As 0.000 2.269 0.000
Mg 2.467 0.000 0.000
```

---

# 12
The following is a GGA-PBE calculation of a geometry-optimized MnAs2Ir structure, from the Alexandria database.

uncorrected energy: -6.4808 eV per atom
energy above the lowest structure with this stoichiometry: 412 meV per atom
calculated formation energy: 1.406 eV per formula unit

```
4
Lattice="-2.374 -3.811 0.309 0.472 -2.659 3.600 -3.336 -0.336 3.002" Properties=species:S:1:pos:R:3 pbc="T T T"
Mn -1.309 -1.702 1.728
Ir -2.619 -3.403 3.456
As -3.928 -5.105 5.183
As 0.000 0.000 0.000
```

---

# 13
The following is a GGA-PBE calculation of a geometry-optimized Mn3AsIr structure, from the Alexandria database.

uncorrected energy: -6.9514 eV per atom
energy above the lowest structure with this stoichiometry: 318 meV per atom
calculated formation energy: 6.262 eV per formula unit

```
5
Lattice="4.222 0.000 0.000 0.000 4.222 0.000 0.000 0.000 4.222" Properties=species:S:1:pos:R:3 pbc="T T T"
Mn 2.111 0.000 0.000
Mn 0.000 0.000 2.111
Ir 2.111 2.111 2.111
As 0.000 0.000 0.000
Mn 0.000 2.111 0.000
```

---

# 14
The following is a GGA-PBE calculation of a geometry-optimized MnAs2Ir structure, from the Alexandria database.

uncorrected energy: -6.7839 eV per atom
energy above the lowest structure with this stoichiometry: 109 meV per atom
calculated formation energy: 0.194 eV per formula unit

```
4
Lattice="6.359 0.030 -0.015 4.179 4.792 0.015 -5.225 -2.508 2.616" Properties=species:S:1:pos:R:3 pbc="T T T"
Ir 3.201 -0.033 1.301
Mn 2.112 2.348 1.316
As 6.317 2.891 0.000
As 9.490 4.343 0.000
```

---

# 15
The following is a GGA-PBE calculation of a geometry-optimized MnAs2Ir structure, from the Alexandria database.

uncorrected energy: -6.8929 eV per atom
energy above the lowest structure with this stoichiometry: 0 meV per atom
calculated formation energy: -0.242 eV per formula unit

```
4
Lattice="-2.580 -2.120 3.174 2.498 -0.674 1.581 -0.383 3.775 2.211" Properties=species:S:1:pos:R:3 pbc="T T T"
As 1.813 3.093 3.540
Ir 0.741 1.674 1.720
Mn 0.609 1.177 4.625
As -0.453 -0.310 2.768
```

---

# 16
The following is a GGA-PBE calculation of a geometry-optimized MnAs2Ir structure, from the Alexandria database.

uncorrected energy: -6.7848 eV per atom
energy above the lowest structure with this stoichiometry: 108 meV per atom
calculated formation energy: 0.190 eV per formula unit

```
4
Lattice="-0.128 1.711 -4.159 -2.397 -3.546 -1.385 -2.563 1.466 0.682" Properties=species:S:1:pos:R:3 pbc="T T T"
As -1.263 -0.918 -2.772
Ir -1.346 1.588 -1.738
As 0.000 0.000 0.000
Mn -2.480 -1.040 -0.351
```

---

# 17
The following is a GGA-PBE calculation of a geometry-optimized Mn3AsIr structure, from the Alexandria database.

uncorrected energy: -7.2693 eV per atom
energy above the lowest structure with this stoichiometry: 0 meV per atom
calculated formation energy: 4.673 eV per formula unit

```
5
Lattice="4.793 0.000 0.000 0.000 4.793 0.000 0.000 0.000 4.793" Properties=species:S:1:pos:R:3 pbc="T T T"
Mn 2.396 0.000 0.000
Ir 0.000 0.000 0.000
As 2.396 2.396 2.396
Mn 0.000 0.000 2.396
Mn 0.000 2.396 0.000
```

---

# 18
The following is a GGA-PBE calculation of a geometry-optimized MnAs2Ir structure, from the Alexandria database.

uncorrected energy: -6.8932 eV per atom
energy above the lowest structure with this stoichiometry: 0 meV per atom
calculated formation energy: -0.243 eV per formula unit

```
4
Lattice="3.448 0.000 0.000 0.000 3.448 0.000 0.000 0.000 5.258" Properties=species:S:1:pos:R:3 pbc="T T T"
Mn 1.724 1.724 4.194
As 0.000 0.000 4.912
Ir 0.000 0.000 2.418
As 1.724 1.724 1.621
```

---

# 19
The following is a GGA-PBE calculation of a geometry-optimized MnAs2Ir structure, from the Alexandria database.

uncorrected energy: -6.6007 eV per atom
energy above the lowest structure with this stoichiometry: 293 meV per atom
calculated formation energy: 0.927 eV per formula unit

```
8
Lattice="-5.069 -0.965 -1.603 0.249 -4.936 2.183 -4.276 -0.964 4.994" Properties=species:S:1:pos:R:3 pbc="T T T"
As -1.628 -3.462 2.387
As -5.010 -3.015 3.998
Ir -5.877 -2.440 1.841
As -7.428 -5.807 4.218
Mn -3.218 -4.425 3.734
As -4.124 -1.446 0.545
Mn -2.410 -2.951 0.290
Ir 0.000 0.000 0.000
```

---

# 20
The following is a GGA-PBE calculation of a geometry-optimized MnAs2Ir structure, from the Alexandria database.

uncorrected energy: -6.6708 eV per atom
energy above the lowest structure with this stoichiometry: 222 meV per atom
calculated formation energy: 0.646 eV per formula unit

```
4
Lattice="4.076 0.000 0.000 0.000 2.879 0.003 0.000 -0.004 5.610" Properties=species:S:1:pos:R:3 pbc="T T T"
Mn 2.038 2.156 4.210
As 0.000 0.718 2.852
Ir 2.038 0.719 1.403
As 0.000 0.715 5.565
```